No. 1
! Ba4LiY2Cu5O14 PBE relaxed; values from VASP
! - Fermi-level density of states (states/eV/f.u.) = 11.020
! - ΔE_f (raw) (eV per atom) = -1.882
&SYSTEM
  ibrav = 0, nat = 26, ntyp = 5
/
ATOMIC_SPECIES
Ba 137.33 Ba.upf
Li 6.94 Li.upf
Y 88.91 Y.upf
Cu 63.55 Cu.upf
O 16.00 O.upf
CELL_PARAMETERS angstrom
3.842 -3.913 0.000
3.842 3.913 0.000
-3.840 0.000 11.863
ATOMIC_POSITIONS crystal
Ba 0.250 0.750 0.000
Ba 0.434 0.935 0.369
Ba 0.750 0.250 0.000
Ba 0.935 0.434 0.369
Li 0.177 0.177 0.853
Y 0.095 0.595 0.689
Y 0.595 0.095 0.689
Cu 0.019 0.019 0.539
Cu 0.342 0.342 0.184
Cu 0.520 0.520 0.541
Cu 0.658 0.658 0.814
Cu 0.844 0.844 0.188
O 0.109 0.609 0.185
O 0.260 0.260 0.025
O 0.281 0.782 0.562
O 0.282 0.282 0.564
O 0.411 0.411 0.806
O 0.415 0.892 0.805
O 0.418 0.418 0.341
O 0.609 0.109 0.185
O 0.763 0.763 0.033
O 0.782 0.281 0.562
O 0.783 0.783 0.565
O 0.892 0.415 0.805
O 0.896 0.896 0.806
O 0.920 0.920 0.345

No. 2
! BaLi2CuPb PBE relaxed; values from VASP
! - E_form (eV/atom) = -0.09
! - Fermi-level density of states (states/eV/f.u.) = 3.185
&SYSTEM
  ibrav = 0, nat = 5, ntyp = 4
/
ATOMIC_SPECIES
Ba 137.33 Ba.upf
Li 6.94 Li.upf
Cu 63.55 Cu.upf
Pb 207.20 Pb.upf
CELL_PARAMETERS angstrom
5.185 0.000 0.000
0.000 5.185 0.000
0.000 0.000 5.120
ATOMIC_POSITIONS crystal
Ba 0.000 0.000 0.000
Li 0.000 0.500 0.500
Li 0.500 0.000 0.500
Cu 0.500 0.500 0.500
Pb 0.500 0.500 0.000

No. 3
! Ba2LiCuPd6 PBE relaxed; values from VASP
! - E_form (eV/atom) = -0.18
! - Fermi-level density of states (states/eV/f.u.) = 3.145
&SYSTEM
  ibrav = 0, nat = 10, ntyp = 4
/
ATOMIC_SPECIES
Ba 137.33 Ba.upf
Li 6.94 Li.upf
Cu 63.55 Cu.upf
Pd 106.42 Pd.upf
CELL_PARAMETERS angstrom
4.713 -4.717 0.000
4.713 4.717 0.000
-4.704 0.000 4.719
ATOMIC_POSITIONS crystal
Ba 0.250 0.750 0.000
Ba 0.750 0.250 0.000
Li 0.000 0.000 0.500
Cu 0.500 0.500 0.500
Pd 0.240 0.240 0.500
Pd 0.240 0.240 0.979
Pd 0.240 0.760 0.500
Pd 0.760 0.240 0.500
Pd 0.760 0.760 0.021
Pd 0.760 0.760 0.500

No. 4
! Ba2Li3CuPd12 PBE relaxed; values from VASP
! - E_form (eV/atom) = -0.11
! - Fermi-level density of states (states/eV/f.u.) = 11.292
&SYSTEM
  ibrav = 0, nat = 18, ntyp = 4
/
ATOMIC_SPECIES
Ba 137.33 Ba.upf
Li 6.94 Li.upf
Cu 63.55 Cu.upf
Pd 106.42 Pd.upf
CELL_PARAMETERS angstrom
3.314 1.913 9.257
-3.314 1.913 9.257
0.000 -3.827 9.257
ATOMIC_POSITIONS crystal
Ba 0.150 0.150 0.150
Ba 0.850 0.850 0.850
Li 0.000 0.500 0.500
Li 0.500 0.000 0.500
Li 0.500 0.500 0.000
Cu 0.500 0.500 0.500
Pd 0.090 0.090 0.685
Pd 0.090 0.685 0.090
Pd 0.152 0.567 0.567
Pd 0.315 0.910 0.910
Pd 0.433 0.433 0.848
Pd 0.433 0.848 0.433
Pd 0.567 0.152 0.567
Pd 0.567 0.567 0.152
Pd 0.685 0.090 0.090
Pd 0.848 0.433 0.433
Pd 0.910 0.315 0.910
Pd 0.910 0.910 0.315

No. 5
! BaLiCu2Pd PBE relaxed; values from VASP
! - E_form (eV/atom) = -0.04
! - Fermi-level density of states (states/eV/f.u.) = 2.503
&SYSTEM
  ibrav = 0, nat = 5, ntyp = 4
/
ATOMIC_SPECIES
Ba 137.33 Ba.upf
Li 6.94 Li.upf
Cu 63.55 Cu.upf
Pd 106.42 Pd.upf
CELL_PARAMETERS angstrom
4.977 0.000 0.000
0.000 4.977 0.000
0.000 0.000 4.619
ATOMIC_POSITIONS crystal
Ba 0.000 0.000 0.000
Li 0.500 0.500 0.000
Cu 0.000 0.500 0.500
Cu 0.500 0.000 0.500
Pd 0.500 0.500 0.500

No. 6
! BaLi2CuPd PBE relaxed; values from VASP
! - E_form (eV/atom) = -0.11
! - Fermi-level density of states (states/eV/f.u.) = 2.504
! - ΔE to the lowest computed polymorph (meV per atom) = 0
&SYSTEM
  ibrav = 0, nat = 5, ntyp = 4
/
ATOMIC_SPECIES
Ba 137.33 Ba.upf
Li 6.94 Li.upf
Cu 63.55 Cu.upf
Pd 106.42 Pd.upf
CELL_PARAMETERS angstrom
4.794 0.000 0.000
0.000 4.794 0.000
0.000 0.000 5.146
ATOMIC_POSITIONS crystal
Ba 0.000 0.000 0.000
Li 0.000 0.500 0.500
Li 0.500 0.000 0.500
Cu 0.500 0.500 0.000
Pd 0.500 0.500 0.500

No. 7
! BaLi2CuPd PBE relaxed; values from VASP
! - E_form (eV/atom) = -0.10
! - Fermi-level density of states (states/eV/f.u.) = 1.837
! - ΔE to the lowest computed polymorph (meV per atom) = 10
&SYSTEM
  ibrav = 0, nat = 5, ntyp = 4
/
ATOMIC_SPECIES
Ba 137.33 Ba.upf
Li 6.94 Li.upf
Cu 63.55 Cu.upf
Pd 106.42 Pd.upf
CELL_PARAMETERS angstrom
4.715 0.000 0.000
0.000 4.715 0.000
0.000 0.000 5.143
ATOMIC_POSITIONS crystal
Ba 0.000 0.000 0.000
Li 0.000 0.500 0.500
Li 0.500 0.000 0.500
Cu 0.500 0.500 0.500
Pd 0.500 0.500 0.000

No. 8
! BaLi2CuPt PBE relaxed; values from VASP
! - E_form (eV/atom) = -0.20
! - Fermi-level density of states (states/eV/f.u.) = 2.753
! - ΔE to the lowest computed polymorph (meV per atom) = 0
&SYSTEM
  ibrav = 0, nat = 5, ntyp = 4
/
ATOMIC_SPECIES
Ba 137.33 Ba.upf
Li 6.94 Li.upf
Cu 63.55 Cu.upf
Pt 195.08 Pt.upf
CELL_PARAMETERS angstrom
4.792 0.000 0.000
0.000 4.792 0.000
0.000 0.000 5.072
ATOMIC_POSITIONS crystal
Ba 0.000 0.000 0.000
Li 0.000 0.500 0.500
Li 0.500 0.000 0.500
Cu 0.500 0.500 0.000
Pt 0.500 0.500 0.500